Record 1
## Cd4SeBr (GGA-PBE)

Data for Cd4SeBr after structural relaxation.

It has space group F-43m (No. 216), with a = 8.394 Å, b = 8.394 Å, c = 8.394 Å, α = 90.00°, β = 90.00° and γ = 90.00°. The distinct sites, in fractional coordinates, are Cd at (0.125, 0.125, 0.125), Se at (0.250, 0.250, 0.750) and Br at (0.000, 0.000, 0.500).

The energy is -1.431 eV per atom. The density of states at the Fermi level is 4.5 states/eV/f.u.

=====

Record 2
## Tb2DyPaN4 (GGA-PBE)

Data for Tb2DyPaN4 after structural relaxation.

It has space group P2/m (No. 10), with a = 6.024 Å, b = 3.506 Å, c = 6.030 Å, α = 90.00°, β = 109.22° and γ = 90.00°. The distinct sites, in fractional coordinates, are Tb at (0.000, 0.000, 0.000), Tb at (0.500, 0.500, 0.000), Dy at (0.000, 0.500, 0.500), Pa at (0.500, 0.000, 0.500), N at (0.259, 0.000, 0.738) and N at (0.260, 0.500, 0.262).

The energy is -8.777 eV per atom. The density of states at the Fermi level is 3.7 states/eV/f.u.

=====

Record 3
## MgIrBr2 (GGA-PBE)

Data for MgIrBr2 after structural relaxation.

It has space group Pmmm (No. 47), with a = 3.280 Å, b = 4.233 Å, c = 5.963 Å, α = 90.00°, β = 90.00° and γ = 90.00°. The distinct sites, in fractional coordinates, are Mg at (0.000, 0.000, 0.000), Ir at (0.500, 0.000, 0.500), Br at (0.000, 0.500, 0.500) and Br at (0.500, 0.500, 0.000).

The energy is -3.252 eV per atom. The value obtained for the energy above the lowest structure with this stoichiometry is 435 meV/atom. The density of states at the Fermi level is 1.0 states/eV/f.u.

=====

Record 4
## ScIBr3 (GGA-PBE)

Data for ScIBr3 after structural relaxation.

It has space group P1 (No. 1), with a = 7.062 Å, b = 7.457 Å, c = 9.601 Å, α = 94.78°, β = 111.12° and γ = 102.36°. The distinct sites, in fractional coordinates, are Sc at (0.000, 0.000, 0.000), Sc at (0.459, 0.923, 0.881), I at (0.272, 0.438, 0.474), I at (0.343, 0.146, 0.315), Br at (0.163, 0.733, 0.633), Br at (0.258, 0.771, 0.051), Br at (0.259, 0.188, 0.884), Br at (0.707, 0.690, 0.968), Br at (0.709, 0.036, 0.737) and Br at (0.790, 0.167, 0.118).

The energy is -3.879 eV per atom. The value obtained for the energy above the lowest structure with this stoichiometry is 38 meV/atom. The density of states at the Fermi level is 0.0 states/eV/f.u.